# CdGeBr2F | Alexandria | PBEsol | optimized geometry
# ΔE_f (raw) = 30 kJ/mol of formula units
data_CdGeBr2F
_chemical_formula_sum 'Cd1 Ge1 Br2 F1'
_cell_length_a 5.164
_cell_length_b 5.164
_cell_length_c 5.420
_cell_angle_alpha 90.00
_cell_angle_beta 90.00
_cell_angle_gamma 90.00
_space_group_name_H-M_alt 'P 4/m m m'
_space_group_IT_number 123
_space_group_name_Hall '-P 4 2'
loop_
_atom_site_label
_atom_site_fract_x
_atom_site_fract_y
_atom_site_fract_z
Cd1 0.000 0.000 0.000
Ge1 0.000 0.000 0.500
Br1 0.000 0.500 0.000
F1 0.500 0.500 0.500

---

# Cd2FeBr | Alexandria | PBEsol | optimized geometry
# energy above the most stable polymorph in this dataset = 0.381 eV/atom
# ΔE_f (raw) = 288 kJ/mol of formula units
data_Cd2FeBr
_chemical_formula_sum 'Cd8 Fe4 Br4'
_cell_length_a 6.938
_cell_length_b 6.938
_cell_length_c 6.938
_cell_angle_alpha 90.00
_cell_angle_beta 90.00
_cell_angle_gamma 90.00
_space_group_name_H-M_alt 'F m -3 m'
_space_group_IT_number 225
_space_group_name_Hall '-F 4 2 3'
loop_
_atom_site_label
_atom_site_fract_x
_atom_site_fract_y
_atom_site_fract_z
Cd1 0.250 0.250 0.250
Fe1 0.000 0.000 0.000
Br1 0.000 0.000 0.500

---

# Cd2FeBr | Alexandria | PBEsol | optimized geometry
# energy above the most stable polymorph in this dataset = 0.000 eV/atom
# ΔE_f (raw) = 140 kJ/mol of formula units
data_Cd2FeBr
_chemical_formula_sum 'Cd4 Fe2 Br2'
_cell_length_a 5.668
_cell_length_b 8.606
_cell_length_c 3.196
_cell_angle_alpha 90.00
_cell_angle_beta 90.00
_cell_angle_gamma 90.00
_space_group_name_H-M_alt 'C m m m'
_space_group_IT_number 65
_space_group_name_Hall '-C 2 2'
loop_
_atom_site_label
_atom_site_fract_x
_atom_site_fract_y
_atom_site_fract_z
Cd1 0.250 0.250 0.000
Fe1 0.000 0.000 0.500
Br1 0.000 0.500 0.500

---

# CdFe2Br | Alexandria | PBEsol | optimized geometry
# ΔE_f (raw) = 272 kJ/mol of formula units
data_CdFe2Br
_chemical_formula_sum 'Cd2 Fe4 Br2'
_cell_length_a 2.964
_cell_length_b 5.255
_cell_length_c 8.723
_cell_angle_alpha 90.00
_cell_angle_beta 90.00
_cell_angle_gamma 90.00
_space_group_name_H-M_alt 'I m m m'
_space_group_IT_number 71
_space_group_name_Hall '-I 2 2'
loop_
_atom_site_label
_atom_site_fract_x
_atom_site_fract_y
_atom_site_fract_z
Cd1 0.000 0.000 0.000
Fe1 0.000 0.500 0.235
Br1 0.000 0.000 0.500

---

# CdFeBr | Alexandria | PBEsol | optimized geometry
# ΔE_f (raw) = 182 kJ/mol of formula units
data_CdFeBr
_chemical_formula_sum 'Cd4 Fe4 Br4'
_cell_length_a 6.267
_cell_length_b 6.267
_cell_length_c 6.267
_cell_angle_alpha 90.00
_cell_angle_beta 90.00
_cell_angle_gamma 90.00
_space_group_name_H-M_alt 'F -4 3 m'
_space_group_IT_number 216
_space_group_name_Hall 'F -4 2 3'
loop_
_atom_site_label
_atom_site_fract_x
_atom_site_fract_y
_atom_site_fract_z
Cd1 0.000 0.000 0.000
Fe1 0.250 0.250 0.750
Br1 0.000 0.000 0.500

---

# Cd2FeBr | Alexandria | PBEsol | optimized geometry
# energy above the most stable polymorph in this dataset = 0.155 eV/atom
# ΔE_f (raw) = 200 kJ/mol of formula units
data_Cd2FeBr
_chemical_formula_sum 'Cd4 Fe2 Br2'
_cell_length_a 4.116
_cell_length_b 4.116
_cell_length_c 9.443
_cell_angle_alpha 90.00
_cell_angle_beta 90.00
_cell_angle_gamma 90.00
_space_group_name_H-M_alt 'I -4 m 2'
_space_group_IT_number 119
_space_group_name_Hall 'I -4 -2'
loop_
_atom_site_label
_atom_site_fract_x
_atom_site_fract_y
_atom_site_fract_z
Cd1 0.000 0.000 0.000
Cd2 0.000 0.500 0.250
Fe1 0.000 0.000 0.500
Br1 0.000 0.500 0.750

---

# NaCd2FeBr | Alexandria | PBEsol | optimized geometry
# ΔE_f (raw) = 488 kJ/mol of formula units
data_NaCd2FeBr
_chemical_formula_sum 'Na1 Cd2 Fe1 Br1'
_cell_length_a 5.357
_cell_length_b 5.357
_cell_length_c 5.059
_cell_angle_alpha 90.00
_cell_angle_beta 90.00
_cell_angle_gamma 90.00
_space_group_name_H-M_alt 'P 4/m m m'
_space_group_IT_number 123
_space_group_name_Hall '-P 4 2'
loop_
_atom_site_label
_atom_site_fract_x
_atom_site_fract_y
_atom_site_fract_z
Na1 0.000 0.000 0.000
Cd1 0.000 0.500 0.000
Fe1 0.000 0.000 0.500
Br1 0.500 0.500 0.500

---

# CdFePt2Br | Alexandria | PBEsol | optimized geometry
# ΔE_f (raw) = 774 kJ/mol of formula units
data_CdFePt2Br
_chemical_formula_sum 'Cd1 Fe1 Pt2 Br1'
_cell_length_a 4.950
_cell_length_b 4.950
_cell_length_c 5.021
_cell_angle_alpha 90.00
_cell_angle_beta 90.00
_cell_angle_gamma 90.00
_space_group_name_H-M_alt 'P 4/m m m'
_space_group_IT_number 123
_space_group_name_Hall '-P 4 2'
loop_
_atom_site_label
_atom_site_fract_x
_atom_site_fract_y
_atom_site_fract_z
Cd1 0.000 0.000 0.000
Fe1 0.500 0.500 0.500
Pt1 0.000 0.500 0.000
Br1 0.000 0.000 0.500

---

# Cd2GaBr | Alexandria | PBEsol | optimized geometry
# ΔE_f (raw) = 49 kJ/mol of formula units
data_Cd2GaBr
_chemical_formula_sum 'Cd8 Ga4 Br4'
_cell_length_a 7.297
_cell_length_b 7.297
_cell_length_c 7.297
_cell_angle_alpha 90.00
_cell_angle_beta 90.00
_cell_angle_gamma 90.00
_space_group_name_H-M_alt 'F m -3 m'
_space_group_IT_number 225
_space_group_name_Hall '-F 4 2 3'
loop_
_atom_site_label
_atom_site_fract_x
_atom_site_fract_y
_atom_site_fract_z
Cd1 0.250 0.250 0.250
Ga1 0.000 0.000 0.000
Br1 0.000 0.000 0.500

---

# ZrCdGa2Br | Alexandria | PBEsol | optimized geometry
# ΔE_f (raw) = 411 kJ/mol of formula units
data_ZrCdGa2Br
_chemical_formula_sum 'Zr1 Cd1 Ga2 Br1'
_cell_length_a 5.033
_cell_length_b 5.033
_cell_length_c 5.047
_cell_angle_alpha 90.00
_cell_angle_beta 90.00
_cell_angle_gamma 90.00
_space_group_name_H-M_alt 'P 4/m m m'
_space_group_IT_number 123
_space_group_name_Hall '-P 4 2'
loop_
_atom_site_label
_atom_site_fract_x
_atom_site_fract_y
_atom_site_fract_z
Zr1 0.000 0.000 0.000
Cd1 0.500 0.500 0.000
Ga1 0.000 0.500 0.500
Br1 0.500 0.500 0.500

---

# CdReGe2Br | Alexandria | PBEsol | optimized geometry
# ΔE_f (raw) = 780 kJ/mol of formula units
data_CdReGe2Br
_chemical_formula_sum 'Cd1 Re1 Ge2 Br1'
_cell_length_a 5.135
_cell_length_b 5.135
_cell_length_c 4.514
_cell_angle_alpha 90.00
_cell_angle_beta 90.00
_cell_angle_gamma 90.00
_space_group_name_H-M_alt 'P 4/m m m'
_space_group_IT_number 123
_space_group_name_Hall '-P 4 2'
loop_
_atom_site_label
_atom_site_fract_x
_atom_site_fract_y
_atom_site_fract_z
Cd1 0.000 0.000 0.000
Re1 0.500 0.500 0.000
Ge1 0.000 0.500 0.500
Br1 0.500 0.500 0.500

---

# Cd3HBr | Alexandria | PBEsol | optimized geometry
# final energy = -0.7957 eV per atom
data_Cd3HBr
_chemical_formula_sum 'Cd3 H1 Br1'
_cell_length_a 5.720
_cell_length_b 5.720
_cell_length_c 5.720
_cell_angle_alpha 90.00
_cell_angle_beta 90.00
_cell_angle_gamma 90.00
_space_group_name_H-M_alt 'P m -3 m'
_space_group_IT_number 221
_space_group_name_Hall '-P 4 2 3'
loop_
_atom_site_label
_atom_site_fract_x
_atom_site_fract_y
_atom_site_fract_z
Cd1 0.000 0.000 0.500
H1 0.500 0.500 0.500
Br1 0.000 0.000 0.000

---

# CdHBr3 | Alexandria | PBEsol | optimized geometry
# final energy = -1.7427 eV per atom
data_CdHBr3
_chemical_formula_sum 'Cd1 H1 Br3'
_cell_length_a 4.658
_cell_length_b 4.658
_cell_length_c 4.658
_cell_angle_alpha 90.00
_cell_angle_beta 90.00
_cell_angle_gamma 90.00
_space_group_name_H-M_alt 'P m -3 m'
_space_group_IT_number 221
_space_group_name_Hall '-P 4 2 3'
loop_
_atom_site_label
_atom_site_fract_x
_atom_site_fract_y
_atom_site_fract_z
Cd1 0.000 0.000 0.000
H1 0.500 0.500 0.500
Br1 0.000 0.500 0.500

---

# HfCd2BrO | Alexandria | PBEsol | optimized geometry
# ΔE_f (raw) = -231 kJ/mol of formula units
data_HfCd2BrO
_chemical_formula_sum 'Hf1 Cd2 Br1 O1'
_cell_length_a 5.478
_cell_length_b 5.478
_cell_length_c 3.890
_cell_angle_alpha 90.00
_cell_angle_beta 90.00
_cell_angle_gamma 90.00
_space_group_name_H-M_alt 'P 4/m m m'
_space_group_IT_number 123
_space_group_name_Hall '-P 4 2'
loop_
_atom_site_label
_atom_site_fract_x
_atom_site_fract_y
_atom_site_fract_z
Hf1 0.000 0.000 0.000
Cd1 0.000 0.500 0.500
Br1 0.500 0.500 0.000
O1 0.000 0.000 0.500

---

# Cd2HgBr2 | Alexandria | PBEsol | optimized geometry
# energy above the most stable polymorph in this dataset = 0.000 eV/atom
# ΔE_f (raw) = -179 kJ/mol of formula units
data_Cd2HgBr2
_chemical_formula_sum 'Cd4 Hg2 Br4'
_cell_length_a 5.024
_cell_length_b 5.024
_cell_length_c 11.029
_cell_angle_alpha 90.00
_cell_angle_beta 90.00
_cell_angle_gamma 90.00
_space_group_name_H-M_alt 'I 4/m m m'
_space_group_IT_number 139
_space_group_name_Hall '-I 4 2'
loop_
_atom_site_label
_atom_site_fract_x
_atom_site_fract_y
_atom_site_fract_z
Cd1 0.000 0.000 0.120
Hg1 0.000 0.000 0.500
Br1 0.000 0.500 0.250